DFT (GGA-PBE) results for a geometry-optimized Ba3Li2AlAu6 structure.

**Space-group type**: P-3m1 (164)
**Fermi-level density of states**: 0.529 states/eV per atom
**M_tot**: 0.0000 μB per atom
**Calculated formation energy**: -6.18 eV/f.u.
**Crystal system**: trigonal

Cell lengths 6.7461, 6.7461, 8.4922 Å; angles 90.00, 90.00, 120.00 degrees
Element x y z (fractional)
Au (0.3675, 0.1838, 0.6824)
Au (0.1838, 0.3675, 0.3176)
Au (0.8162, 0.6325, 0.6824)
Au (0.6325, 0.8162, 0.3176)
Au (0.1838, 0.8162, 0.3176)
Au (0.8162, 0.1838, 0.6824)
Ba (0.3333, 0.6667, 0.6591)
Ba (0.6667, 0.3333, 0.3409)
Ba (0.0000, 0.0000, 0.0000)
Al (0.0000, 0.0000, 0.5000)
Li (0.3333, 0.6667, 0.0836)
Li (0.6667, 0.3333, 0.9164)